Compound: SrLa2Cd2Sn2
Source: the Alexandria database
Functional: GGA-PBE
Structure: optimized geometry

Geometry as CIF:
```
data_SrLa2Cd2Sn2
_cell_length_a 5.0836
_cell_length_b 5.0836
_cell_length_c 29.3317
_cell_angle_alpha 90.00
_cell_angle_beta 90.00
_cell_angle_gamma 120.00
_symmetry_space_group_name_H-M 'R -3 m'
_symmetry_Int_Tables_number 166
_symmetry_space_group_name_Hall '-R 3 2"'
loop_
_atom_site_label
_atom_site_type_symbol
_atom_site_fract_x
_atom_site_fract_y
_atom_site_fract_z
Sr1 Sr 0.0000 0.0000 0.0000
La1 La 0.0000 0.0000 0.1327
Cd1 Cd 0.0000 0.0000 0.4169
Sn1 Sn 0.0000 0.0000 0.2594
```

## Properties
energy of formation from the pure elements	-2.71	eV/f.u.
size of the total moment	0.0	μB/cell